1.
# BeAsPb2 (PBE, relaxed)
data_BeAsPb2
_space_group_name_H-M_alt 'I -4 2 d'
_space_group_IT_number 122
_space_group_name_Hall 'I -4 2bw'
_cell_length_a 6.181
_cell_length_b 6.181
_cell_length_c 12.040
_cell_angle_alpha 90.00
_cell_angle_beta 90.00
_cell_angle_gamma 90.00
loop_
_atom_site_label
_atom_site_type_symbol
_atom_site_fract_x
_atom_site_fract_y
_atom_site_fract_z
_atom_site_occupancy
Be1 Be 0.000 0.000 0.000 1
As1 As 0.000 0.000 0.500 1
Pb1 Pb 0.210 0.250 0.125 1
# Total moment in μB/atom: 0.00
# Energy relative to the elements in eV per atom: 0.3697
# Polymorph energy (0 for the lowest one) in eV per formula unit: 0.75


2.
# Ce2CoI (PBE, relaxed)
data_Ce2CoI
_space_group_name_H-M_alt 'R 3 m'
_space_group_IT_number 160
_space_group_name_Hall 'R 3 -2"'
_cell_length_a 3.9879
_cell_length_b 3.9879
_cell_length_c 24.0130
_cell_angle_alpha 90.00
_cell_angle_beta 90.00
_cell_angle_gamma 120.00
loop_
_atom_site_label
_atom_site_type_symbol
_atom_site_fract_x
_atom_site_fract_y
_atom_site_fract_z
_atom_site_occupancy
Ce1 Ce 0.0000 0.0000 0.0000 1
Ce2 Ce 0.0000 0.0000 0.2137 1
Co1 Co 0.0000 0.0000 0.6057 1
I1 I 0.0000 0.0000 0.7741 1
# Total moment in μB/atom: 0.42
# ΔE_f (raw) in eV per formula unit: -2.2
# Polymorph energy (0 for the lowest one) in eV per formula unit: 0.03


3.
# Sm2Dy4Er5 (PBE, relaxed)
data_Sm2Dy4Er5
_space_group_name_H-M_alt 'I m m m'
_space_group_IT_number 71
_space_group_name_Hall '-I 2 2'
_cell_length_a 3.483
_cell_length_b 8.984
_cell_length_c 23.059
_cell_angle_alpha 90.00
_cell_angle_beta 90.00
_cell_angle_gamma 90.00
loop_
_atom_site_label
_atom_site_type_symbol
_atom_site_fract_x
_atom_site_fract_y
_atom_site_fract_z
_atom_site_occupancy
Sm1 Sm 0.000 0.000 0.232 1
Dy1 Dy 0.000 0.000 0.097 1
Dy2 Dy 0.000 0.307 0.500 1
Er1 Er 0.000 0.195 0.357 1
Er2 Er 0.000 0.500 0.000 1
# Total moment in μB/atom: 0.00
# Energy relative to the elements in eV per atom: 0.2284
# Polymorph energy (0 for the lowest one) in eV per formula unit: 1.83


4.
# HfZn2Pd3 (PBE, relaxed)
data_HfZn2Pd3
_space_group_name_H-M_alt 'C 1 2/m 1'
_space_group_IT_number 12
_space_group_name_Hall '-C 2y'
_cell_length_a 7.734
_cell_length_b 4.458
_cell_length_c 10.984
_cell_angle_alpha 90.00
_cell_angle_beta 90.12
_cell_angle_gamma 90.00
loop_
_atom_site_label
_atom_site_type_symbol
_atom_site_fract_x
_atom_site_fract_y
_atom_site_fract_z
_atom_site_occupancy
Hf1 Hf 0.167 0.000 0.173 1
Zn1 Zn 0.000 0.500 0.000 1
Zn2 Zn 0.000 0.500 0.500 1
Zn3 Zn 0.167 0.000 0.665 1
Pd1 Pd 0.000 0.500 0.263 1
Pd2 Pd 0.167 0.000 0.420 1
Pd3 Pd 0.167 0.000 0.918 1
# Total moment in μB/atom: 0.00
# Energy relative to the elements in eV per atom: -0.6196


5.
# TiInTcIr (PBE, relaxed)
data_TiInTcIr
_space_group_name_H-M_alt 'F -4 3 m'
_space_group_IT_number 216
_space_group_name_Hall 'F -4 2 3'
_cell_length_a 6.355
_cell_length_b 6.355
_cell_length_c 6.355
_cell_angle_alpha 90.00
_cell_angle_beta 90.00
_cell_angle_gamma 90.00
loop_
_atom_site_label
_atom_site_type_symbol
_atom_site_fract_x
_atom_site_fract_y
_atom_site_fract_z
_atom_site_occupancy
Ti1 Ti 0.000 0.000 0.000 1
In1 In 0.000 0.000 0.500 1
Tc1 Tc 0.250 0.250 0.750 1
Ir1 Ir 0.250 0.250 0.250 1
# Total moment in μB/atom: 0.00
# Energy relative to the elements in eV per atom: -0.3163


6.
# ZnRhBr2 (PBE, relaxed)
data_ZnRhBr2
_space_group_name_H-M_alt 'P 1 2/m 1'
_space_group_IT_number 10
_space_group_name_Hall '-P 2y'
_cell_length_a 5.005
_cell_length_b 3.666
_cell_length_c 7.105
_cell_angle_alpha 90.00
_cell_angle_beta 110.52
_cell_angle_gamma 90.00
loop_
_atom_site_label
_atom_site_type_symbol
_atom_site_fract_x
_atom_site_fract_y
_atom_site_fract_z
_atom_site_occupancy
Zn1 Zn 0.000 0.000 0.000 1
Rh1 Rh 0.500 0.000 0.000 1
Br1 Br 0.372 0.500 0.744 1
# Total moment in μB/atom: 0.00
# ΔE_f (raw) in eV per formula unit: -0.8
# Polymorph energy (0 for the lowest one) in eV per formula unit: 0.00


7.
# Y5MgAu6 (PBE, relaxed)
data_Y5MgAu6
_space_group_name_H-M_alt 'C 1 2/m 1'
_space_group_IT_number 12
_space_group_name_Hall '-C 2y'
_cell_length_a 8.749
_cell_length_b 15.160
_cell_length_c 5.032
_cell_angle_alpha 90.00
_cell_angle_beta 125.02
_cell_angle_gamma 90.00
loop_
_atom_site_label
_atom_site_type_symbol
_atom_site_fract_x
_atom_site_fract_y
_atom_site_fract_z
_atom_site_occupancy
Y1 Y 0.000 0.000 0.000 1
Y2 Y 0.000 0.169 0.500 1
Y3 Y 0.000 0.340 0.000 1
Mg1 Mg 0.000 0.500 0.500 1
Au1 Au 0.244 0.000 0.742 1
Au2 Au 0.249 0.167 0.249 1
# Total moment in μB/atom: 0.00
# Energy relative to the elements in eV per atom: -0.8180


8.
# Cs2SrAuBr6 (PBE, relaxed)
data_Cs2SrAuBr6
_space_group_name_H-M_alt 'I 4/m m m'
_space_group_IT_number 139
_space_group_name_Hall '-I 4 2'
_cell_length_a 7.953
_cell_length_b 7.953
_cell_length_c 12.703
_cell_angle_alpha 90.00
_cell_angle_beta 90.00
_cell_angle_gamma 90.00
loop_
_atom_site_label
_atom_site_type_symbol
_atom_site_fract_x
_atom_site_fract_y
_atom_site_fract_z
_atom_site_occupancy
Cs1 Cs 0.000 0.500 0.250 1
Sr1 Sr 0.000 0.000 0.000 1
Au1 Au 0.000 0.000 0.500 1
Br1 Br 0.000 0.000 0.234 1
Br2 Br 0.231 0.231 0.500 1
# Total moment in μB/atom: 0.07
# ΔE_f (raw) in eV per formula unit: -13.4


9.
# LaZnSnC2 (PBE, relaxed)
data_LaZnSnC2
_space_group_name_H-M_alt 'P 4/m m m'
_space_group_IT_number 123
_space_group_name_Hall '-P 4 2'
_cell_length_a 4.286
_cell_length_b 4.286
_cell_length_c 5.404
_cell_angle_alpha 90.00
_cell_angle_beta 90.00
_cell_angle_gamma 90.00
loop_
_atom_site_label
_atom_site_type_symbol
_atom_site_fract_x
_atom_site_fract_y
_atom_site_fract_z
_atom_site_occupancy
La1 La 0.000 0.000 0.000 1
Zn1 Zn 0.000 0.000 0.500 1
Sn1 Sn 0.500 0.500 0.000 1
C1 C 0.000 0.500 0.500 1
# Total moment in μB/atom: 0.00
# Energy relative to the elements in eV per atom: 1.7287


10.
# AcNdSm2Bi4 (PBE, relaxed)
data_AcNdSm2Bi4
_space_group_name_H-M_alt 'P 1 2/m 1'
_space_group_IT_number 10
_space_group_name_Hall '-P 2y'
_cell_length_a 8.059
_cell_length_b 4.658
_cell_length_c 8.064
_cell_angle_alpha 90.00
_cell_angle_beta 109.45
_cell_angle_gamma 90.00
loop_
_atom_site_label
_atom_site_type_symbol
_atom_site_fract_x
_atom_site_fract_y
_atom_site_fract_z
_atom_site_occupancy
Ac1 Ac 0.000 0.000 0.000 1
Nd1 Nd 0.000 0.500 0.500 1
Sm1 Sm 0.500 0.000 0.500 1
Sm2 Sm 0.500 0.500 0.000 1
Bi1 Bi 0.258 0.000 0.746 1
Bi2 Bi 0.263 0.500 0.261 1
# Total moment in μB/atom: 0.00
# Energy relative to the elements in eV per atom: -0.9361


11.
# TbEr3In (PBE, relaxed)
data_TbEr3In
_space_group_name_H-M_alt 'C 1 2/m 1'
_space_group_IT_number 12
_space_group_name_Hall '-C 2y'
_cell_length_a 16.559
_cell_length_b 5.164
_cell_length_c 6.837
_cell_angle_alpha 90.00
_cell_angle_beta 90.79
_cell_angle_gamma 90.00
loop_
_atom_site_label
_atom_site_type_symbol
_atom_site_fract_x
_atom_site_fract_y
_atom_site_fract_z
_atom_site_occupancy
Tb1 Tb 0.109 0.000 0.493 1
Er1 Er 0.004 0.500 0.752 1
Er2 Er 0.110 0.000 0.001 1
Er3 Er 0.204 0.500 0.250 1
In1 In 0.197 0.500 0.753 1
# Total moment in μB/atom: 0.00
# Energy relative to the elements in eV per atom: -0.1831
# Polymorph energy (0 for the lowest one) in eV per formula unit: 0.00


12.
# SiSnBiPb2 (PBE, relaxed)
data_SiSnBiPb2
_space_group_name_H-M_alt 'P 4/m m m'
_space_group_IT_number 123
_space_group_name_Hall '-P 4 2'
_cell_length_a 5.458
_cell_length_b 5.458
_cell_length_c 5.451
_cell_angle_alpha 90.00
_cell_angle_beta 90.00
_cell_angle_gamma 90.00
loop_
_atom_site_label
_atom_site_type_symbol
_atom_site_fract_x
_atom_site_fract_y
_atom_site_fract_z
_atom_site_occupancy
Si1 Si 0.000 0.000 0.000 1
Sn1 Sn 0.500 0.500 0.500 1
Bi1 Bi 0.000 0.000 0.500 1
Pb1 Pb 0.000 0.500 0.000 1
# Total moment in μB/atom: 0.00
# ΔE_f (raw) in eV per formula unit: 2.4